HfAgBr6 | PBE | relaxed

Output
* total magnetic moment: 0.00 μB per formula unit
* uncorrected formation energy: -88.0 kJ/mol of atoms
* offset from the most stable computed form: 0 meV/atom
* calculated total energy: -0.2769 Ry/atom

Unit cell a=7.042 b=12.661 c=7.053 alpha=90.00 beta=116.23 gamma=90.00
Space group C2/m (No. 12)
Asymmetric unit:
Hf1 0.000 0.000 0.000
Ag1 0.000 0.500 0.500
Br1 0.215 0.000 0.786
Br2 0.250 0.150 0.250